Material: LiMnVP4O14
Method: DFT, GGA+U
State: relaxed

Summary:
Theoretical density   2.9 g cm⁻³
Volume   534 Å³/cell
Uncorrected energy   -7.262 eV/atom
SG   No. 1

Unit cell a=7.051 b=8.202 c=9.702 alpha=89.30 beta=72.28 gamma=87.78
Each line ends with the local moment (μB).
Fractional positions:
Li: 0.326 0.869 0.583  0.00
Li: 0.670 0.361 0.913  0.00
Mn: 0.734 0.007 0.392  3.89
Mn: 0.723 0.992 0.897  3.88
V: 0.273 0.504 0.109  1.04
V: 0.280 0.497 0.601  1.05
P: 0.492 0.178 0.198  0.01
P: 0.901 0.775 0.115  0.01
P: 0.097 0.281 0.388  0.01
P: 0.509 0.681 0.304  0.01
P: 0.479 0.181 0.702  0.01
P: 0.901 0.777 0.614  0.01
P: 0.095 0.292 0.889  0.01
P: 0.514 0.685 0.800  0.01
O: 0.169 0.338 0.017  -0.02
O: 0.094 0.671 0.073  -0.01
O: 0.539 0.041 0.087  -0.01
O: 0.491 0.347 0.124  -0.01
O: 0.384 0.664 0.199  -0.03
O: 0.094 0.431 0.291  0.00
O: 0.266 0.151 0.297  0.00
O: 0.736 0.651 0.208  0.00
O: 0.906 0.924 0.206  -0.02
O: 0.623 0.178 0.297  -0.03
O: 0.483 0.847 0.375  0.02
O: 0.468 0.540 0.413  -0.01
O: 0.165 0.335 0.518  -0.02
O: 0.105 0.686 0.572  -0.01
O: 0.909 0.189 0.439  0.03
O: 0.842 0.824 0.480  -0.03
O: 0.519 0.046 0.588  -0.01
O: 0.484 0.353 0.637  -0.01
O: 0.390 0.673 0.692  -0.01
O: 0.100 0.443 0.791  -0.01
O: 0.251 0.153 0.799  0.00
O: 0.746 0.646 0.705  0.00
O: 0.907 0.925 0.708  -0.02
O: 0.612 0.176 0.801  -0.02
O: 0.495 0.853 0.861  0.04
O: 0.476 0.544 0.910  -0.01
O: 0.894 0.217 0.933  0.01
O: 0.851 0.817 0.975  -0.03